Entry 1:
Below is a geometry-optimized Ca2Zn2H structure, with properties calculated at the PBEsol level.

Results
Space group   I4/mmm, No. 139
Uncorrected energy   -1.885 eV/atom

a = 5.2681 Å, b = 5.2681 Å, c = 5.2681 Å
α = 77.45°, β = 66.96°, γ = 113.04°
Atoms (fractional coordinates):
Ca 0.5000 0.2500 0.2500
Ca 0.5000 0.7500 0.7500
Zn 0.0000 0.6811 0.3189
Zn 0.0000 0.3189 0.6811
H 0.0000 0.0000 0.0000



Entry 2:
Below is a geometry-optimized Ca2ZnH2 structure, with properties calculated at the PBEsol level.

Results
Space group   I4/mmm, No. 139
Uncorrected energy   -2.868 eV/atom

a = 3.7354 Å, b = 3.7354 Å, c = 6.7252 Å
α = 106.12°, β = 106.12°, γ = 90.00°
Atoms (fractional coordinates):
H 0.2500 0.7500 0.5000
H 0.7500 0.2500 0.5000
Ca 0.6492 0.6492 0.2985
Ca 0.3508 0.3508 0.7015
Zn 0.0000 0.0000 0.0000



Entry 3:
Below is a geometry-optimized KCaHf2Hg structure, with properties calculated at the PBEsol level.

Results
Space group   P4/mmm, No. 123
Energy relative to the elements   0.940 eV/atom

a = 5.3150 Å, b = 5.3150 Å, c = 5.9875 Å
α = 90.00°, β = 90.00°, γ = 90.00°
Atoms (fractional coordinates):
Hf 0.0000 0.5000 0.0000
Hf 0.5000 0.0000 0.0000
Ca 0.5000 0.5000 0.5000
K 0.0000 0.0000 0.5000
Hg 0.0000 0.0000 0.0000



Entry 4:
Below is a geometry-optimized CaHfIr3 structure, with properties calculated at the PBEsol level.

Results
Space group   Pm-3m, No. 221
Energy relative to the elements   0.783 eV/atom

a = 4.8139 Å, b = 4.8139 Å, c = 4.8139 Å
α = 90.00°, β = 90.00°, γ = 90.00°
Atoms (fractional coordinates):
Ir 0.0000 0.5000 0.0000
Ir 0.0000 0.0000 0.5000
Ir 0.5000 0.0000 0.0000
Hf 0.0000 0.0000 0.0000
Ca 0.5000 0.5000 0.5000



Entry 5:
Below is a geometry-optimized CaHfIrN2 structure, with properties calculated at the PBEsol level.

Results
Space group   P4/mmm, No. 123
Formation energy without anion corrections   2110 meV per atom

a = 3.9415 Å, b = 3.9415 Å, c = 6.3805 Å
α = 90.00°, β = 90.00°, γ = 90.00°
Each line ends with the local moment (μB).
Atoms (fractional coordinates):
Ir 0.5000 0.5000 0.5000  0.43
N 0.5000 0.0000 0.0000  0.38
N 0.0000 0.5000 0.0000  0.38
Hf 0.0000 0.0000 0.5000  -0.15
Ca 0.0000 0.0000 0.0000  0.00



Entry 6:
Below is a geometry-optimized KCaHf2 structure, with properties calculated at the PBEsol level.

Results
Space group   Fm-3m, No. 225
Energy relative to the elements   1.324 eV/atom

a = 5.4173 Å, b = 5.4173 Å, c = 5.4173 Å
α = 60.00°, β = 60.00°, γ = 60.00°
Atoms (fractional coordinates):
K 0.0000 0.0000 0.0000
Ca 0.5000 0.5000 0.5000
Hf 0.2500 0.2500 0.2500
Hf 0.7500 0.7500 0.7500